The following is a meta-GGA SCAN calculation of ZrSc3F at its PBEsol-relaxed geometry, from the Alexandria database.

Lattice parameters (Å, degrees): 4.5438 4.5438 4.5438 90.00 90.00 90.00
With the nearest neighbours (Å) after each atom.
Fractional coordinates of all 5 atoms:
Sc  0.0000  0.0000  0.5000  2 F 2.27
Sc  0.0000  0.5000  0.0000  2 F 2.27
Sc  0.5000  0.0000  0.0000  2 F 2.27
F  0.0000  0.0000  0.0000  6 Sc 2.27
Zr  0.5000  0.5000  0.5000  12 Sc 3.21

crystal system	cubic
space group	Pm-3m
total energy	-16.329	eV/atom
total magnetic moment	0.0	μB/cell

The following is a meta-GGA SCAN calculation of SeF4 at its PBEsol-relaxed geometry, from the Alexandria database.

Lattice parameters (Å, degrees): 5.3153 5.7634 10.5643 90.00 90.00 90.00
With the nearest neighbours (Å) after each atom.
Fractional coordinates of all 20 atoms:
Se  0.3529  0.3854  0.1212  4 F 1.73-1.88
Se  0.6471  0.8854  0.3788  4 F 1.73-1.88
Se  0.1471  0.6146  0.6212  4 F 1.73-1.88
Se  0.8529  0.1146  0.8788  4 F 1.73-1.88
F  0.0086  0.3565  0.7002  1 Se 1.86
F  0.7333  0.9276  0.9913  1 Se 1.73
F  0.6811  0.3548  0.9631  1 Se 1.88
F  0.9061  0.9127  0.2809  1 Se 1.73
F  0.1811  0.1452  0.0369  1 Se 1.88
F  0.7667  0.0724  0.4913  1 Se 1.73
F  0.5939  0.0873  0.7809  1 Se 1.73
F  0.4914  0.6435  0.2002  1 Se 1.86
F  0.2333  0.5724  0.0087  1 Se 1.73
F  0.9914  0.8565  0.7998  1 Se 1.86
F  0.2667  0.4276  0.5087  1 Se 1.73
F  0.8189  0.6452  0.4631  1 Se 1.88
F  0.5086  0.1435  0.2998  1 Se 1.86
F  0.3189  0.8548  0.5369  1 Se 1.88
F  0.0939  0.4127  0.2191  1 Se 1.73
F  0.4061  0.5873  0.7191  1 Se 1.73

crystal system	orthorhombic
space group	P2_12_12_1
total energy	-8.600	eV/atom
total magnetic moment	0.0	μB/cell

The following is a meta-GGA SCAN calculation of Si3SeF at its PBEsol-relaxed geometry, from the Alexandria database.

Lattice parameters (Å, degrees): 4.9827 4.9827 4.9827 90.00 90.00 90.00
With the nearest neighbours (Å) after each atom.
Fractional coordinates of all 5 atoms:
Si  0.5000  0.0000  0.0000  2 Se 2.49
Si  0.0000  0.0000  0.5000  2 Se 2.49
Si  0.0000  0.5000  0.0000  2 Se 2.49
F  0.5000  0.5000  0.5000  12 Si 3.52
Se  0.0000  0.0000  0.0000  6 Si 2.49

crystal system	cubic
space group	Pm-3m
total energy	-9.581	eV/atom
total magnetic moment	0.7	μB/cell

The following is a meta-GGA SCAN calculation of SiSeF3 at its PBEsol-relaxed geometry, from the Alexandria database.

Lattice parameters (Å, degrees): 4.0891 4.0891 4.0891 90.00 90.00 90.00
With the nearest neighbours (Å) after each atom.
Fractional coordinates of all 5 atoms:
Se  0.0000  0.0000  0.0000  12 F 2.89
F  0.5000  0.5000  0.0000  2 Si 2.04
F  0.5000  0.0000  0.5000  2 Si 2.04
F  0.0000  0.5000  0.5000  2 Si 2.04
Si  0.5000  0.5000  0.5000  6 F 2.04

crystal system	cubic
space group	Pm-3m
total energy	-9.215	eV/atom
total magnetic moment	2.4	μB/cell

The following is a meta-GGA SCAN calculation of SiSeF2 at its PBEsol-relaxed geometry, from the Alexandria database.

Lattice parameters (Å, degrees): 3.7028 3.7028 8.1437 103.14 103.14 90.00
With the nearest neighbours (Å) after each atom.
Fractional coordinates of all 8 atoms:
F  0.8441  0.3750  0.2500  2 Si 2.29, 2 Se 2.38, 2 F 2.46
F  0.6250  0.5941  0.7500  2 Si 2.29, 2 Se 2.38, 2 F 2.46
F  0.4059  0.8750  0.2500  2 Si 2.29, 2 Se 2.38, 2 F 2.46
F  0.1250  0.1559  0.7500  2 Si 2.29, 2 Se 2.38, 2 F 2.46
Si  0.7500  0.2500  0.5000  4 F 2.29
Si  0.5000  0.5000  0.0000  4 F 2.29
Se  0.2500  0.7500  0.5000  4 F 2.38, 4 Si 2.62
Se  0.0000  0.0000  0.0000  4 F 2.38, 4 Si 2.62

crystal system	tetragonal
space group	I-42d
total energy	-10.018	eV/atom
total magnetic moment	0.0	μB/cell

The following is a meta-GGA SCAN calculation of SnSe3F at its PBEsol-relaxed geometry, from the Alexandria database.

Lattice parameters (Å, degrees): 4.6763 4.6763 4.6763 90.00 90.00 90.00
With the nearest neighbours (Å) after each atom.
Fractional coordinates of all 5 atoms:
Se  0.5000  0.0000  0.0000  2 F 2.34
Se  0.0000  0.0000  0.5000  2 F 2.34
Se  0.0000  0.5000  0.0000  2 F 2.34
F  0.0000  0.0000  0.0000  6 Se 2.34
Sn  0.5000  0.5000  0.5000  12 Se 3.31

crystal system	cubic
space group	Pm-3m
total energy	-19.736	eV/atom
total magnetic moment	0.0	μB/cell

The following is a meta-GGA SCAN calculation of Sr2SeF2 at its PBEsol-relaxed geometry, from the Alexandria database.

Lattice parameters (Å, degrees): 3.9533 3.9533 7.0260 106.34 106.34 90.00
With the nearest neighbours (Å) after each atom.
Fractional coordinates of all 5 atoms:
F  0.7500  0.2500  0.5000  4 Sr 2.44
F  0.2500  0.7500  0.5000  4 Sr 2.44
Sr  0.3616  0.3616  0.7232  4 F 2.44
Sr  0.6384  0.6384  0.2768  4 F 2.44
Se  0.0000  0.0000  0.0000  8 Sr 3.32

crystal system	tetragonal
space group	I4/mmm
total energy	-17.748	eV/atom
total magnetic moment	0.0	μB/cell

The following is a meta-GGA SCAN calculation of Ta3SeF at its PBEsol-relaxed geometry, from the Alexandria database.

Lattice parameters (Å, degrees): 4.3027 4.3027 4.3027 90.00 90.00 90.00
With the nearest neighbours (Å) after each atom.
Fractional coordinates of all 5 atoms:
F  0.0000  0.0000  0.0000  6 Ta 2.15
Se  0.5000  0.5000  0.5000  12 Ta 3.04
Ta  0.5000  0.0000  0.0000  2 F 2.15
Ta  0.0000  0.0000  0.5000  2 F 2.15
Ta  0.0000  0.5000  0.0000  2 F 2.15

crystal system	cubic
space group	Pm-3m
total energy	-44.273	eV/atom
energy above the lowest structure with this stoichiometry	0.000	eV/atom
total magnetic moment	0.0	μB/cell

The following is a meta-GGA SCAN calculation of TaSe3F at its PBEsol-relaxed geometry, from the Alexandria database.

Lattice parameters (Å, degrees): 4.4821 4.4821 4.4821 90.00 90.00 90.00
With the nearest neighbours (Å) after each atom.
Fractional coordinates of all 5 atoms:
Se  0.5000  0.0000  0.0000  2 F 2.24
Se  0.0000  0.0000  0.5000  2 F 2.24
Se  0.0000  0.5000  0.0000  2 F 2.24
Ta  0.5000  0.5000  0.5000  12 Se 3.17
F  0.0000  0.0000  0.0000  6 Se 2.24

crystal system	cubic
space group	Pm-3m
total energy	-25.344	eV/atom
total magnetic moment	1.6	μB/cell

The following is a meta-GGA SCAN calculation of TmSeF at its PBEsol-relaxed geometry, from the Alexandria database.

Lattice parameters (Å, degrees): 3.9786 3.9786 17.4669 90.00 90.00 120.00
With the nearest neighbours (Å) after each atom.
Fractional coordinates of all 12 atoms:
F  0.0000  0.0000  0.2500  3 Tm 2.30, 3 F 2.30
F  0.3333  0.6667  0.7500  3 F 2.30, 3 Tm 2.30
F  0.6667  0.3333  0.2500  3 F 2.30, 3 Tm 2.30
F  0.0000  0.0000  0.7500  3 F 2.30, 3 Tm 2.30
Tm  0.6667  0.3333  0.7500  6 F 2.30
Tm  0.3333  0.6667  0.2500  6 F 2.30
Tm  0.0000  0.0000  0.5000  6 Se 2.78
Tm  0.0000  0.0000  0.0000  6 Se 2.78
Se  0.6667  0.3333  0.5894  4 Tm 2.78-2.80
Se  0.3333  0.6667  0.4106  4 Tm 2.78-2.80
Se  0.6667  0.3333  0.9106  4 Tm 2.78-2.80
Se  0.3333  0.6667  0.0894  4 Tm 2.78-2.80

crystal system	hexagonal
space group	P6_3/mmc
total energy	-28.261	eV/atom
total magnetic moment	0.0	μB/cell

The following is a meta-GGA SCAN calculation of Y3SeF at its PBEsol-relaxed geometry, from the Alexandria database.

Lattice parameters (Å, degrees): 4.7012 4.7012 4.7012 90.00 90.00 90.00
With the nearest neighbours (Å) after each atom.
Fractional coordinates of all 5 atoms:
F  0.0000  0.0000  0.0000  6 Y 2.35
Y  0.0000  0.5000  0.0000  2 F 2.35
Y  0.5000  0.0000  0.0000  2 F 2.35
Y  0.0000  0.0000  0.5000  2 F 2.35
Se  0.5000  0.5000  0.5000  12 Y 3.32

crystal system	cubic
space group	Pm-3m
total energy	-22.479	eV/atom
total magnetic moment	0.0	μB/cell

The following is a meta-GGA SCAN calculation of Y16Se16F15 at its PBEsol-relaxed geometry, from the Alexandria database.

Lattice parameters (Å, degrees): 4.0603 9.8738 25.2551 97.55 90.00 90.00
With the nearest neighbours (Å) after each atom.
Fractional coordinates of all 47 atoms:
F  0.0000  0.4585  0.2725  3 Y 2.26-2.32, 2 F 2.42
F  0.5000  0.9307  0.3976  3 Y 2.26-2.32, 2 F 2.42
F  0.5000  0.8505  0.1450  3 Y 2.26-2.36, 2 F 2.44
F  0.0000  0.9026  0.0980  3 Y 2.27-2.35, 2 F 2.44
F  0.5000  0.0161  0.6480  3 Y 2.26-2.32, 2 F 2.42
F  0.0000  0.0683  0.6023  3 Y 2.26-2.33, 2 F 2.42
F  0.5000  0.0179  0.9849  3 Y 2.21-2.41, 1 F 2.39
F  0.5000  0.5409  0.7272  3 Y 2.26-2.32, 2 F 2.42
F  0.0000  0.6238  0.7727  3 Y 2.26-2.32, 2 F 2.42
F  0.5000  0.4585  0.4769  3 Y 2.26-2.33, 2 F 2.43
F  0.0000  0.1489  0.8543  3 Y 2.25-2.40, 2 F 2.42
F  0.5000  0.0994  0.8999  3 Y 2.29-2.31, 3 F 2.39-2.42
F  0.5000  0.3740  0.2273  3 Y 2.26-2.32, 2 F 2.42
F  0.0000  0.9833  0.3520  3 Y 2.26-2.32, 2 F 2.42
F  0.0000  0.5413  0.5228  3 Y 2.27-2.33, 2 F 2.43
Se  0.0000  0.6275  0.3834  4 Y 2.82-2.90, 1 F 3.06
Se  0.5000  0.4585  0.8673  4 Y 2.82-2.85
Se  0.5000  0.8364  0.5087  4 Y 2.81-2.90, 1 F 3.07
Se  0.0000  0.1631  0.4913  4 Y 2.81-2.90, 1 F 3.07
Se  0.5000  0.6685  0.0109  4 Y 2.79-2.82
Se  0.0000  0.7102  0.6343  4 Y 2.82-2.90, 1 F 3.08
Se  0.5000  0.2018  0.1173  4 Y 2.80-2.89, 1 F 3.06
Se  0.0000  0.7977  0.8822  4 Y 2.78-2.89, 1 F 3.06
Se  0.5000  0.7530  0.2562  4 Y 2.82-2.91, 1 F 3.08
Se  0.0000  0.0784  0.2414  4 Y 2.80-2.90, 1 F 3.06
Se  0.5000  0.3720  0.6163  4 Y 2.81-2.90, 1 F 3.07
Se  0.0000  0.2468  0.7435  4 Y 2.82-2.92, 1 F 3.08
Se  0.0000  0.5420  0.1341  4 Y 2.82-2.84
Se  0.5000  0.9206  0.7587  4 Y 2.81-2.89, 1 F 3.07
Se  0.5000  0.2892  0.3655  4 Y 2.82-2.90, 1 F 3.08
Se  0.0000  0.3289  0.9905  4 Y 2.81-2.87
Y  0.0000  0.4831  0.6916  3 F 2.26-2.32
Y  0.5000  0.1000  0.5664  3 F 2.26-2.32
Y  0.5000  0.6820  0.8081  3 F 2.26-2.32
Y  0.5000  0.4319  0.0624  6 Se 2.81-2.84
Y  0.0000  0.0595  0.9383  5 F 2.31-2.41
Y  0.0000  0.9845  0.6842  3 F 2.26-2.33
Y  0.0000  0.8192  0.1811  3 F 2.26-2.35
Y  0.5000  0.0149  0.3161  3 F 2.26-2.32
Y  0.5000  0.9369  0.0622  4 F 2.21-2.36
Y  0.5000  0.5978  0.5590  3 F 2.27-2.33
Y  0.0000  0.8994  0.4338  3 F 2.26-2.32
Y  0.0000  0.5706  0.9387  6 Se 2.81-2.87
Y  0.5000  0.5159  0.3082  3 F 2.26-2.32
Y  0.0000  0.4019  0.4410  3 F 2.26-2.33
Y  0.0000  0.3162  0.1918  3 F 2.26-2.32
Y  0.5000  0.1809  0.8192  3 F 2.25-2.29

crystal system	monoclinic
space group	Pm
total energy	-20.562	eV/atom
total magnetic moment	1.0	μB/cell